[1]
{"formula": "Tb2Tm3Th", "functional": "PBE", "state": "relaxed", "cell": [[-3.599, 5.094, 2.622], [4.355, -0.190, 6.348], [5.828, 4.836, -1.397]], "species": ["Tb", "Tb", "Tb", "Tb", "Tm", "Tm", "Tm", "Tm", "Tm", "Tm", "Th", "Th"], "frac_coords": [[0.576, 0.476, 0.823], [0.576, 0.823, 0.476], [0.076, 0.524, 0.177], [0.076, 0.177, 0.524], [0.077, 0.789, 0.445], [0.077, 0.445, 0.789], [0.825, 0.149, 0.149], [0.577, 0.555, 0.211], [0.577, 0.211, 0.555], [0.325, 0.851, 0.851], [0.327, 0.146, 0.146], [0.827, 0.854, 0.854]], "sg": "No. 36", "magnetic_moment_mub_per_atom": 0.0000, "de_polymorph_ev_per_atom": 0.204, "formation_energy_ev_per_atom": 0.24}

[2]
{"formula": "YFe2Ru2", "functional": "PBE", "state": "relaxed", "cell": [[7.396, 0.000, 0.000], [0.000, 7.396, 0.000], [0.000, 0.000, 2.716]], "species": ["Ru", "Ru", "Ru", "Ru", "Fe", "Fe", "Fe", "Fe", "Y", "Y"], "frac_coords": [[0.124, 0.376, 0.000], [0.624, 0.124, 0.000], [0.876, 0.624, 0.000], [0.376, 0.876, 0.000], [0.829, 0.329, 0.500], [0.329, 0.171, 0.500], [0.171, 0.671, 0.500], [0.671, 0.829, 0.500], [0.000, 0.000, 0.000], [0.500, 0.500, 0.000]], "sg": "No. 127", "magnetic_moment_mub_per_atom": 0.2838, "de_polymorph_ev_per_atom": 0.216, "formation_energy_ev_per_atom": 0.22}

[3]
{"formula": "KHf2Si4", "functional": "PBE", "state": "relaxed", "cell": [[-1.240, 2.479, -4.094], [-4.731, 0.007, 1.437], [-1.959, 7.288, 2.021]], "species": ["K", "Si", "Si", "Si", "Si", "Hf", "Hf"], "frac_coords": [[0.000, 0.000, 0.000], [0.500, 0.000, 0.000], [0.792, 0.792, 0.417], [0.000, 0.500, 0.000], [0.208, 0.208, 0.583], [0.398, 0.398, 0.204], [0.602, 0.602, 0.796]], "sg": "No. 139", "magnetic_moment_mub_per_atom": 0.0000, "e_form_raw_kcal_per_mol_atoms": 26.0}

[4]
{"formula": "CdAs2PtSe", "functional": "PBE", "state": "relaxed", "cell": [[-2.645, -1.481, 3.771], [1.906, -4.428, -0.402], [3.964, 1.403, 3.331]], "species": ["Se", "As", "As", "Pt", "Cd"], "frac_coords": [[0.000, 0.000, 0.500], [0.000, 0.500, 0.000], [0.500, 0.000, 0.000], [0.000, 0.000, 0.000], [0.500, 0.500, 0.500]], "sg": "No. 123", "magnetic_moment_mub_per_atom": 0.1351, "de_polymorph_ev_per_atom": 0.000, "e_form_raw_kcal_per_mol_atoms": 9.9}

[5]
{"formula": "Tl2PtSe2O6", "functional": "PBE", "state": "relaxed", "cell": [[5.430, 0.000, 0.000], [-2.715, 6.187, -0.627], [0.000, -4.250, 6.896]], "species": ["Tl", "Tl", "O", "O", "O", "O", "O", "O", "Se", "Se", "Pt"], "frac_coords": [[0.690, 0.380, 0.277], [0.310, 0.620, 0.723], [0.638, 0.774, 0.270], [0.362, 0.226, 0.730], [0.136, 0.774, 0.270], [0.864, 0.226, 0.730], [0.108, 0.216, 0.334], [0.892, 0.784, 0.666], [0.936, 0.872, 0.188], [0.064, 0.128, 0.812], [0.500, 0.000, 0.500]], "sg": "No. 12", "magnetic_moment_mub_per_atom": 0.0000, "e_form_raw_kcal_per_mol_atoms": -16.5}

[6]
{"formula": "HoGe2Bi", "functional": "PBE", "state": "relaxed", "cell": [[4.002, 0.000, 0.000], [0.000, 4.853, 0.000], [0.000, 0.000, 4.853]], "species": ["Ge", "Ge", "Bi", "Ho"], "frac_coords": [[0.000, 0.000, 0.500], [0.000, 0.500, 0.000], [0.500, 0.000, 0.000], [0.500, 0.500, 0.500]], "sg": "No. 123", "magnetic_moment_mub_per_atom": 0.0000, "de_polymorph_ev_per_atom": 0.000, "formation_energy_ev_per_atom": -0.29}

[7]
{"formula": "KTc2Cl", "functional": "PBE", "state": "relaxed", "cell": [[-2.406, 1.113, -6.702], [1.877, -2.776, -1.135], [-3.391, -2.591, 0.787]], "species": ["K", "Tc", "Tc", "Cl"], "frac_coords": [[0.500, 0.750, 0.750], [0.000, 0.502, 0.588], [0.000, 0.998, 0.912], [0.500, 0.250, 0.250]], "sg": "No. 10", "magnetic_moment_mub_per_atom": 0.0000, "de_polymorph_ev_per_atom": 0.560, "e_form_raw_kcal_per_mol_atoms": 14.1}

[8]
{"formula": "Y3HoRh8", "functional": "PBE", "state": "relaxed", "cell": [[5.114, 0.000, 1.544], [2.324, 4.555, 1.544], [-0.002, -0.001, 9.247]], "species": ["Rh", "Rh", "Rh", "Rh", "Rh", "Rh", "Rh", "Rh", "Y", "Y", "Y", "Ho"], "frac_coords": [[0.688, 0.688, 0.937], [0.438, 0.938, 0.687], [0.938, 0.938, 0.687], [0.437, 0.437, 0.188], [0.937, 0.437, 0.188], [0.938, 0.438, 0.687], [0.188, 0.188, 0.437], [0.437, 0.937, 0.188], [0.375, 0.375, 0.875], [0.500, 0.500, 0.499], [0.000, 0.000, 0.000], [0.875, 0.875, 0.376]], "sg": "No. 160", "magnetic_moment_mub_per_atom": 0.0000, "formation_energy_ev_per_atom": -0.74}

[9]
{"formula": "Th2BPt4Rh2", "functional": "PBE", "state": "relaxed", "cell": [[6.054, -0.075, -0.108], [-2.972, 5.275, 0.108], [-2.972, -1.753, 4.977]], "species": ["B", "Th", "Th", "Rh", "Rh", "Pt", "Pt", "Pt", "Pt"], "frac_coords": [[0.000, 0.000, 0.000], [0.500, 0.750, 0.250], [0.500, 0.250, 0.750], [0.000, 0.745, 0.745], [0.000, 0.255, 0.255], [0.000, 0.744, 0.256], [0.488, 0.744, 0.744], [0.000, 0.256, 0.744], [0.512, 0.256, 0.256]], "sg": "No. 139", "magnetic_moment_mub_per_atom": 0.0000, "formation_energy_ev_per_atom": -0.98}

[10]
{"formula": "PrTm12Al3", "functional": "PBE", "state": "relaxed", "cell": [[4.742, 0.000, 0.000], [0.000, 4.742, 0.000], [0.000, 0.000, 19.360]], "species": ["Tm", "Tm", "Tm", "Tm", "Tm", "Tm", "Tm", "Tm", "Tm", "Tm", "Tm", "Tm", "Pr", "Al", "Al", "Al"], "frac_coords": [[0.500, 0.500, 0.259], [0.500, 0.500, 0.741], [0.500, 0.500, 0.000], [0.500, 0.500, 0.500], [0.500, 0.000, 0.621], [0.000, 0.500, 0.379], [0.000, 0.500, 0.621], [0.500, 0.000, 0.863], [0.500, 0.000, 0.137], [0.500, 0.000, 0.379], [0.000, 0.500, 0.863], [0.000, 0.500, 0.137], [0.000, 0.000, 0.000], [0.000, 0.000, 0.500], [0.000, 0.000, 0.741], [0.000, 0.000, 0.259]], "sg": "No. 123", "magnetic_moment_mub_per_atom": 0.0000, "formation_energy_ev_per_atom": -0.12}

[11]
{"formula": "ZrNbZnMo", "functional": "PBE", "state": "relaxed", "cell": [[-0.278, 4.320, 1.702], [-3.588, 1.209, 2.703], [0.661, 0.757, 4.542]], "species": ["Zr", "Mo", "Zn", "Nb"], "frac_coords": [[0.250, 0.250, 0.250], [0.000, 0.000, 0.000], [0.500, 0.500, 0.500], [0.750, 0.750, 0.750]], "sg": "No. 216", "magnetic_moment_mub_per_atom": 0.0000, "formation_energy_ev_per_atom": -0.03}

[12]
{"formula": "Ca3Zn8Au3", "functional": "PBE", "state": "relaxed", "cell": [[4.198, 0.000, 1.143], [1.467, 7.764, 2.892], [-0.036, 0.201, 8.412]], "species": ["Au", "Au", "Au", "Ca", "Ca", "Ca", "Zn", "Zn", "Zn", "Zn", "Zn", "Zn", "Zn", "Zn"], "frac_coords": [[0.000, 0.763, 0.237], [0.000, 0.237, 0.763], [0.500, 0.000, 0.000], [0.178, 0.822, 0.822], [0.822, 0.178, 0.178], [0.500, 0.500, 0.500], [0.819, 0.544, 0.818], [0.629, 0.646, 0.096], [0.181, 0.456, 0.182], [0.819, 0.818, 0.544], [0.181, 0.182, 0.456], [0.371, 0.354, 0.904], [0.629, 0.096, 0.646], [0.371, 0.904, 0.354]], "sg": "No. 71", "magnetic_moment_mub_per_atom": 0.0000, "formation_energy_ev_per_atom": -0.38}